# 1
# PrCo2As2

PrCo2As2 at its PBEsol-relaxed geometry (SCAN, the Alexandria database).

Lattice parameters (Å, degrees): 4.0000 4.0000 10.1340 90.00 90.00 90.00
Space group I4/mmm (No. 139)
Unique sites:
Pr 0.0000 0.0000 0.0000 [2 per cell]
Co 0.0000 0.5000 0.2500 [4 per cell]
As 0.0000 0.0000 0.3648 [4 per cell]

Properties
raw total energy: -24.425 eV/atom
DFT formation energy: -0.762 eV per atom



# 2
# SrTl2Cd

SrTl2Cd at its PBEsol-relaxed geometry (SCAN, the Alexandria database).

Lattice parameters (Å, degrees): 5.0636 5.0636 8.6552 90.00 90.00 90.00
Space group I-4m2 (No. 119)
Unique sites:
Sr 0.0000 0.0000 0.0000 [2 per cell]
Tl 0.0000 0.0000 0.5000 [2 per cell]
Tl 0.0000 0.5000 0.2500 [2 per cell]
Cd 0.0000 0.5000 0.7500 [2 per cell]

Properties
raw total energy: -49.636 eV/atom
DFT formation energy: -0.284 eV per atom



# 3
# TaCoRh2

TaCoRh2 at its PBEsol-relaxed geometry (SCAN, the Alexandria database).

Lattice parameters (Å, degrees): 3.8273 3.8273 7.4307 90.00 90.00 90.00
Space group I4/mmm (No. 139)
Unique sites:
Ta 0.0000 0.0000 0.0000 [2 per cell]
Co 0.0000 0.0000 0.5000 [2 per cell]
Rh 0.0000 0.5000 0.2500 [4 per cell]

Properties
raw total energy: -38.302 eV/atom
DFT formation energy: -0.444 eV per atom



# 4
# CaSi2P2

CaSi2P2 at its PBEsol-relaxed geometry (SCAN, the Alexandria database).

Lattice parameters (Å, degrees): 3.7583 3.7583 12.5713 90.00 90.00 90.00
Space group I4/mmm (No. 139)
Unique sites:
Ca 0.0000 0.0000 0.0000 [2 per cell]
Si 0.0000 0.5000 0.2500 [4 per cell]
P 0.0000 0.0000 0.4122 [4 per cell]

Properties
raw total energy: -10.121 eV/atom



# 5
# Hf3BeGa

Hf3BeGa at its PBEsol-relaxed geometry (SCAN, the Alexandria database).

Lattice parameters (Å, degrees): 4.5742 4.5742 4.5742 90.00 90.00 90.00
Space group Pm-3m (No. 221)
Unique sites:
Hf 0.0000 0.0000 0.5000 [3 per cell]
Be 0.0000 0.0000 0.0000 [1 per cell]
Ga 0.5000 0.5000 0.5000 [1 per cell]

Properties
raw total energy: -41.621 eV/atom
DFT formation energy: 0.123 eV per atom



# 6
# Ba4C3

Ba4C3 at its PBEsol-relaxed geometry (SCAN, the Alexandria database).

Lattice parameters (Å, degrees): 5.8891 5.8891 5.8891 90.00 90.00 90.00
Space group Pm-3m (No. 221)
Unique sites:
Ba 0.0000 0.0000 0.0000 [1 per cell]
Ba 0.0000 0.5000 0.5000 [3 per cell]
C 0.0000 0.0000 0.5000 [3 per cell]

Properties
polymorph energy (0 for the lowest one): 0.0 meV per atom
raw total energy: -25.931 eV/atom
DFT formation energy: 0.997 eV per atom